VASP calculation (GGA-PBE) on a geometry-optimized TiBePt structure.

a = 3.938 Å, b = 3.939 Å, c = 3.941 Å
α = 119.99°, β = 119.98°, γ = 90.00°
Fractional positions:
Ti1 0.164 0.414 0.828
Pt1 0.664 0.914 0.828
Be1 0.914 0.664 0.328

Offset from the most stable computed form   0.386 eV/atom
Raw total energy   -6.26 eV per atom
DFT formation energy   -0.37 eV per atom
Symmetry   F-43m, No. 216

VASP calculation (GGA-PBE) on a geometry-optimized LiDyPb2Se4 structure.

a = 4.218 Å, b = 7.395 Å, c = 7.221 Å
α = 71.36°, β = 90.00°, γ = 90.00°
Fractional positions:
Pb1 0.000 0.000 0.000
Pb2 0.500 0.000 0.500
Se1 0.500 0.724 0.257
Se2 0.500 0.276 0.743
Se3 0.000 0.726 0.755
Se4 0.000 0.274 0.245
Li1 0.500 0.500 0.000
Dy1 0.000 0.500 0.500

Raw total energy   -4.56 eV per atom
Symmetry   P2/m, No. 10
ΔE_f (raw)   -8.643 eV/f.u.

VASP calculation (GGA-PBE) on a geometry-optimized RbSbMoI2 structure.

a = 5.963 Å, b = 5.963 Å, c = 5.257 Å
α = 90.00°, β = 90.00°, γ = 90.00°
Fractional positions:
I1 0.500 0.000 0.000
I2 0.000 0.500 0.000
Sb1 0.000 0.000 0.500
Rb1 0.500 0.500 0.500
Mo1 0.000 0.000 0.000

Offset from the most stable computed form   0.000 eV/atom
Raw total energy   -3.92 eV per atom
Symmetry   P4/mmm, No. 123
ΔE_f (raw)   -0.570 eV/f.u.

VASP calculation (GGA-PBE) on a geometry-optimized ScTa2Os structure.

a = 5.292 Å, b = 5.400 Å, c = 2.889 Å
α = 80.34°, β = 78.26°, γ = 115.82°
Fractional positions:
Ta1 0.000 0.000 0.000
Ta2 0.500 0.000 0.500
Sc1 0.500 0.500 0.000
Os1 0.000 0.500 0.500

Raw total energy   -10.35 eV per atom
DFT formation energy   -0.03 eV per atom
Symmetry   C2/m, No. 12

VASP calculation (GGA-PBE) on a geometry-optimized Tl14InBi structure.

a = 7.025 Å, b = 7.025 Å, c = 11.096 Å
α = 90.00°, β = 90.00°, γ = 115.02°
Fractional positions:
Tl1 0.099 0.901 0.000
Tl2 0.092 0.396 0.000
Tl3 0.086 0.411 0.500
Tl4 0.408 0.592 0.249
Tl5 0.404 0.088 0.254
Tl6 0.912 0.596 0.746
Tl7 0.908 0.092 0.250
Tl8 0.598 0.402 0.000
Tl9 0.408 0.592 0.751
Tl10 0.404 0.088 0.746
Tl11 0.908 0.092 0.750
Tl12 0.912 0.596 0.254
Tl13 0.589 0.914 0.500
Tl14 0.604 0.908 0.000
Bi1 0.582 0.418 0.500
In1 0.085 0.915 0.500

Raw total energy   -2.48 eV per atom
DFT formation energy   0.00 eV per atom
Symmetry   Amm2, No. 38

VASP calculation (GGA-PBE) on a geometry-optimized Ba2CeNiSe5 structure.

a = 4.308 Å, b = 9.635 Å, c = 13.393 Å
α = 90.00°, β = 90.00°, γ = 102.92°
Fractional positions:
Se1 0.045 0.089 0.980
Se2 0.502 0.004 0.770
Se3 0.309 0.617 0.672
Se4 0.345 0.691 0.025
Se5 0.498 0.996 0.270
Se6 0.955 0.911 0.480
Se7 0.655 0.309 0.525
Se8 0.697 0.395 0.881
Se9 0.691 0.383 0.172
Se10 0.303 0.605 0.381
Ce1 0.195 0.391 0.028
Ce2 0.805 0.609 0.528
Ba1 0.117 0.234 0.346
Ba2 0.125 0.250 0.706
Ba3 0.875 0.750 0.206
Ba4 0.883 0.766 0.846
Ni1 0.429 0.857 0.417
Ni2 0.571 0.143 0.917

Raw total energy   -5.14 eV per atom
Symmetry   Cmc2_1, No. 36
ΔE_f (raw)   -13.301 eV/f.u.

VASP calculation (GGA-PBE) on a geometry-optimized CaFeIr2 structure.

a = 5.496 Å, b = 5.496 Å, c = 5.496 Å
α = 149.75°, β = 128.67°, γ = 60.75°
Fractional positions:
Ir1 0.471 0.471 0.000
Ir2 0.029 0.029 0.000
Ca1 0.750 0.250 0.500
Fe1 0.250 0.750 0.500

Offset from the most stable computed form   0.133 eV/atom
Raw total energy   -6.92 eV per atom
DFT formation energy   0.13 eV per atom
Symmetry   Immm, No. 71

VASP calculation (GGA-PBE) on a geometry-optimized Tb4NdIn5 structure.

a = 3.788 Å, b = 3.788 Å, c = 19.031 Å
α = 90.00°, β = 90.00°, γ = 90.00°
Fractional positions:
In1 0.500 0.500 0.500
In2 0.500 0.500 0.893
In3 0.500 0.500 0.303
In4 0.500 0.500 0.697
In5 0.500 0.500 0.107
Tb1 0.000 0.000 0.598
Tb2 0.000 0.000 0.795
Tb3 0.000 0.000 0.402
Tb4 0.000 0.000 0.205
Nd1 0.000 0.000 0.000

Raw total energy   -4.18 eV per atom
DFT formation energy   -0.48 eV per atom
Symmetry   P4/mmm, No. 123

VASP calculation (GGA-PBE) on a geometry-optimized CsBa4Nb3O12 structure.

a = 7.595 Å, b = 7.595 Å, c = 7.595 Å
α = 109.47°, β = 109.47°, γ = 109.47°
Fractional positions:
O1 0.287 0.287 0.000
O2 0.750 0.500 0.250
O3 0.713 0.713 0.000
O4 0.713 0.000 0.713
O5 0.250 0.500 0.750
O6 0.750 0.250 0.500
O7 0.500 0.750 0.250
O8 0.000 0.287 0.287
O9 0.287 0.000 0.287
O10 0.250 0.750 0.500
O11 0.000 0.713 0.713
O12 0.500 0.250 0.750
Nb1 0.500 0.000 0.500
Nb2 0.000 0.500 0.500
Nb3 0.500 0.500 0.000
Cs1 0.000 0.000 0.000
Ba1 0.000 0.500 0.000
Ba2 0.500 0.500 0.500
Ba3 0.500 0.000 0.000
Ba4 0.000 0.000 0.500

Raw total energy   -7.36 eV per atom
Symmetry   Im-3m, No. 229
ΔE_f (raw)   -48.930 eV/f.u.

VASP calculation (GGA-PBE) on a geometry-optimized Ho3ZnO6 structure.

a = 5.443 Å, b = 7.094 Å, c = 7.094 Å
α = 102.30°, β = 90.00°, γ = 90.00°
Fractional positions:
O1 0.197 0.103 0.571
O2 0.197 0.429 0.897
O3 0.199 0.677 0.643
O4 0.699 0.323 0.357
O5 0.199 0.357 0.323
O6 0.675 0.969 0.031
O7 0.175 0.031 0.969
O8 0.697 0.571 0.103
O9 0.649 0.218 0.782
O10 0.697 0.897 0.429
O11 0.149 0.782 0.218
O12 0.699 0.643 0.677
Ho1 0.423 0.396 0.604
Ho2 0.923 0.604 0.396
Ho3 0.974 0.700 0.915
Ho4 0.974 0.085 0.300
Ho5 0.474 0.915 0.700
Ho6 0.474 0.300 0.085
Zn1 0.998 0.191 0.809
Zn2 0.498 0.809 0.191

Raw total energy   -7.38 eV per atom
Symmetry   Cmc2_1, No. 36
ΔE_f (raw)   -29.035 eV/f.u.

VASP calculation (GGA-PBE) on a geometry-optimized Hf5Zn2Sn2 structure.

a = 7.932 Å, b = 5.925 Å, c = 9.560 Å
α = 108.05°, β = 114.51°, γ = 90.00°
Fractional positions:
Hf1 0.821 0.788 0.675
Hf2 0.914 0.189 0.500
Hf3 0.816 0.755 0.127
Hf4 0.184 0.629 0.873
Hf5 0.646 0.614 0.325
Hf6 0.189 0.129 0.873
Hf7 0.179 0.114 0.325
Hf8 0.354 0.288 0.675
Hf9 0.086 0.689 0.500
Hf10 0.811 0.255 0.127
Zn1 0.538 0.021 0.500
Zn2 0.500 0.451 0.000
Zn3 0.462 0.521 0.500
Zn4 0.000 0.951 0.000
Sn1 0.505 0.041 0.192
Sn2 0.187 0.541 0.192
Sn3 0.813 0.349 0.808
Sn4 0.495 0.849 0.808

Raw total energy   -6.83 eV per atom
DFT formation energy   -0.13 eV per atom
Symmetry   Ima2, No. 46

VASP calculation (GGA-PBE) on a geometry-optimized MgMnCuSi2 structure.

a = 4.267 Å, b = 4.267 Å, c = 4.703 Å
α = 90.00°, β = 90.00°, γ = 90.00°
Fractional positions:
Si1 0.500 0.000 0.000
Si2 0.000 0.500 0.000
Cu1 0.000 0.000 0.500
Mn1 0.000 0.000 0.000
Mg1 0.500 0.500 0.500

Raw total energy   -4.80 eV per atom
Symmetry   P4/mmm, No. 123
ΔE_f (raw)   1.728 eV/f.u.

Question: Which of these has the lowest raw total energy?
Answer: ScTa2Os

Question: Which value of raw total energy does entry 7 give?
Answer: -6.92 eV per atom